Record 1
Below is an optimized crystal structure of AcTb2TcO8, with properties calculated at the PBE-GGA level.

Cell lengths 5.1348, 5.1306, 7.0374 Å; angles 90.00, 90.00, 88.64 degrees
Atoms (fractional coordinates):
Tb 0.5000 0.5000 0.7497
Tb 0.5000 0.5000 0.2503
O 0.3253 0.3195 0.5000
O 0.1842 0.8128 0.8042
O 0.1842 0.8128 0.1958
O 0.6747 0.6805 0.5000
O 0.2606 0.2576 0.0000
O 0.8158 0.1872 0.8042
O 0.8158 0.1872 0.1958
O 0.7394 0.7424 0.0000
Tc 0.0000 0.0000 0.0000
Ac 0.0000 0.0000 0.5000

**Final energy**: -94.544 eV per formula unit
**Magnetization**: 0.00 μB/cell
**Symmetry**: P2/m (10)
**Formation energy without anion corrections**: -2.595 eV/atom
**V**: 15.45 Å³ per atom

Record 2
Below is an optimized crystal structure of Ba2ReB, with properties calculated at the PBE-GGA level.

Cell lengths 11.5495, 11.5495, 8.4260 Å; angles 46.74, 46.74, 90.00 degrees
Atoms (fractional coordinates):
Re 0.7500 0.2500 0.5000
Re 0.0000 0.0000 0.0000
Ba 0.8750 0.6765 0.7500
Ba 0.3750 0.5735 0.7500
Ba 0.4265 0.1250 0.2500
Ba 0.3235 0.6250 0.2500
B 0.5000 0.5000 0.0000
B 0.2500 0.7500 0.5000

**Final energy**: -20.388 eV per formula unit
**Magnetization**: 1.91 μB/cell
**Symmetry**: I-42d (122)
**Energy of formation from the pure elements**: 0.646 eV/atom
**D(E_F)**: 8.7 states/eV/cell
**V**: 34.58 Å³ per atom

Record 3
Below is an optimized crystal structure of Ac3PmSm2Te6, with properties calculated at the PBE-GGA level.

Cell lengths 4.5497, 9.2745, 10.3088 Å; angles 104.25, 102.75, 90.00 degrees
Atoms (fractional coordinates):
Ac 0.8338 0.1671 0.6676
Ac 0.5000 0.5000 0.0000
Ac 0.1662 0.8329 0.3324
Te 0.9957 0.7593 0.9914
Te 0.3369 0.9059 0.6738
Te 0.6631 0.0941 0.3262
Te 0.0043 0.2407 0.0086
Te 0.3289 0.4275 0.6579
Te 0.6711 0.5725 0.3421
Pm 0.5000 0.0000 0.0000
Sm 0.1663 0.3327 0.3326
Sm 0.8337 0.6673 0.6674

**Final energy**: -62.614 eV per formula unit
**Magnetization**: 0.00 μB/cell
**Symmetry**: C2/m (12)
**D(E_F)**: 6.7 states/eV/cell
**Formation energy without anion corrections**: -1.437 eV/atom
**V**: 34.21 Å³ per atom

Record 4
Below is an optimized crystal structure of FeNi14Mo, with properties calculated at the PBE-GGA level.

Cell lengths 5.0372, 5.0372, 7.0770 Å; angles 90.00, 90.00, 90.00 degrees
Atoms (fractional coordinates):
Ni 0.1265 0.1265 0.7524
Ni 0.6235 0.1265 0.7524
Ni 0.6235 0.6235 0.2476
Ni 0.8750 0.3750 0.5000
Ni 0.8750 0.8750 0.0000
Ni 0.8750 0.3750 0.0000
Ni 0.3750 0.8750 0.0000
Ni 0.6235 0.6235 0.7524
Ni 0.3750 0.3750 0.0000
Ni 0.1265 0.6235 0.7524
Ni 0.1265 0.6235 0.2476
Ni 0.6235 0.1265 0.2476
Ni 0.1265 0.1265 0.2476
Ni 0.3750 0.8750 0.5000
Fe 0.3750 0.3750 0.5000
Mo 0.8750 0.8750 0.5000

**Final energy**: -100.500 eV per formula unit
**Magnetization**: 9.21 μB/cell
**Symmetry**: P4/mmm (123)
**Energy of formation from the pure elements**: -0.017 eV/atom
**D(E_F)**: 26.0 states/eV/cell
**V**: 11.22 Å³ per atom

Record 5
Below is an optimized crystal structure of BaAsSe2, with properties calculated at the PBE-GGA level.

Cell lengths 4.6317, 4.8108, 6.5760 Å; angles 65.38, 90.00, 90.00 degrees
Atoms (fractional coordinates):
Se 0.0000 0.0959 0.8713
Se 0.5000 0.3095 0.3611
As 0.0000 0.4464 0.4711
Ba 0.5000 0.6483 0.7965

**Final energy**: -17.435 eV per formula unit
**Magnetization**: 0.00 μB/cell
**Symmetry**: Pm (6)
**D(E_F)**: 1.1 states/eV/cell
**Formation energy without anion corrections**: -0.973 eV/atom
**V**: 33.30 Å³ per atom

Record 6
Below is an optimized crystal structure of AcPu2Pa, with properties calculated at the PBE-GGA level.

Cell lengths 4.0209, 4.0209, 9.7317 Å; angles 78.08, 78.08, 60.00 degrees
Atoms (fractional coordinates):
Pu 0.1171 0.1171 0.6486
Pu 0.8829 0.8829 0.3514
Ac 0.0000 0.0000 0.0000
Pa 0.5000 0.5000 0.5000

**Final energy**: -39.321 eV per formula unit
**Magnetization**: 12.09 μB/cell
**Symmetry**: R-3m (166)
**Energy of formation from the pure elements**: 0.737 eV/atom
**D(E_F)**: 9.1 states/eV/cell
**V**: 33.08 Å³ per atom

Record 7
Below is an optimized crystal structure of TbPr4In3, with properties calculated at the PBE-GGA level.

Cell lengths 5.0014, 5.0087, 12.4707 Å; angles 127.04, 101.57, 90.00 degrees
Atoms (fractional coordinates):
In 0.0000 0.5000 0.0000
In 0.2491 0.2475 0.4982
In 0.7509 0.7525 0.5018
Pr 0.3683 0.1049 0.7365
Pr 0.8692 0.6077 0.7383
Pr 0.6317 0.8951 0.2635
Pr 0.1308 0.3923 0.2617
Tb 0.5000 0.0000 0.0000

**Final energy**: -34.751 eV per formula unit
**Magnetization**: 0.00 μB/cell
**Symmetry**: Immm (71)
**Energy of formation from the pure elements**: -0.348 eV/atom
**D(E_F)**: 10.0 states/eV/cell
**V**: 30.17 Å³ per atom

Record 8
Below is an optimized crystal structure of YBe2Co2, with properties calculated at the PBE-GGA level.

Cell lengths 6.7094, 6.7094, 2.7411 Å; angles 90.00, 90.00, 90.00 degrees
Atoms (fractional coordinates):
Y 0.0000 0.0000 0.0000
Y 0.5000 0.5000 0.0000
Co 0.3517 0.8517 0.0000
Co 0.6483 0.1483 0.0000
Co 0.1483 0.3517 0.0000
Co 0.8517 0.6483 0.0000
Be 0.1280 0.6280 0.5000
Be 0.6280 0.8720 0.5000
Be 0.3720 0.1280 0.5000
Be 0.8720 0.3720 0.5000

**Final energy**: -28.093 eV per formula unit
**Magnetization**: 0.00 μB/cell
**Symmetry**: P4/mbm (127)
**Energy of formation from the pure elements**: 0.007 eV/atom
**D(E_F)**: 4.4 states/eV/cell
**V**: 12.34 Å³ per atom

Record 9
Below is an optimized crystal structure of Tb2NdDy4, with properties calculated at the PBE-GGA level.

Cell lengths 3.5360, 9.4561, 8.5405 Å; angles 121.54, 78.08, 111.94 degrees
Atoms (fractional coordinates):
Nd 0.0000 0.0000 0.0000
Tb 0.3599 0.4297 0.1402
Tb 0.6401 0.5703 0.8598
Dy 0.8073 0.1639 0.7147
Dy 0.5894 0.2941 0.4112
Dy 0.1927 0.8361 0.2853
Dy 0.4106 0.7059 0.5888

**Final energy**: -32.191 eV per formula unit
**Magnetization**: 0.00 μB/cell
**Symmetry**: C2/m (12)
**Energy of formation from the pure elements**: 0.035 eV/atom
**D(E_F)**: 10.2 states/eV/cell
**V**: 32.24 Å³ per atom

Record 10
Below is an optimized crystal structure of CeZrCdSn, with properties calculated at the PBE-GGA level.

Cell lengths 5.2115, 5.2115, 5.2115 Å; angles 60.00, 60.00, 60.00 degrees
Atoms (fractional coordinates):
Sn 0.7500 0.7500 0.7500
Ce 0.5000 0.5000 0.5000
Cd 0.2500 0.2500 0.2500
Zr 0.0000 0.0000 0.0000

**Final energy**: -20.438 eV per formula unit
**Magnetization**: 1.99 μB/cell
**Symmetry**: F-43m (216)
**Energy of formation from the pure elements**: -0.260 eV/atom
**D(E_F)**: 7.7 states/eV/cell
**V**: 25.02 Å³ per atom

Record 11
Below is an optimized crystal structure of LaTm4In4, with properties calculated at the PBE-GGA level.

Cell lengths 7.2643, 7.2643, 10.4248 Å; angles 90.00, 90.00, 90.00 degrees
Atoms (fractional coordinates):
Tm 0.5000 0.7633 0.0936
Tm 0.5000 0.2367 0.0936
Tm 0.0000 0.2633 0.4064
Tm 0.2367 0.5000 0.9064
Tm 0.7633 0.5000 0.9064
Tm 0.2633 0.0000 0.5936
Tm 0.7367 0.0000 0.5936
Tm 0.0000 0.7367 0.4064
In 0.5000 0.2068 0.7970
In 0.5000 0.7932 0.7970
In 0.2932 0.0000 0.2970
In 0.7068 0.0000 0.2970
In 0.0000 0.7068 0.7030
In 0.7932 0.5000 0.2030
In 0.0000 0.2932 0.7030
In 0.2068 0.5000 0.2030
La 0.0000 0.0000 0.0000
La 0.5000 0.5000 0.5000

**Final energy**: -35.615 eV per formula unit
**Magnetization**: 0.00 μB/cell
**Symmetry**: P4_2/nmc (137)
**Energy of formation from the pure elements**: -0.205 eV/atom
**D(E_F)**: 13.7 states/eV/cell
**V**: 30.56 Å³ per atom

Record 12
Below is an optimized crystal structure of GeIrN2, with properties calculated at the PBE-GGA level.

Cell lengths 6.3514, 6.3514, 6.3514 Å; angles 26.30, 26.30, 26.30 degrees
Atoms (fractional coordinates):
N 0.8934 0.8934 0.8934
N 0.1066 0.1066 0.1066
Ir 0.0000 0.0000 0.0000
Ge 0.5000 0.5000 0.5000

**Final energy**: -28.524 eV per formula unit
**Magnetization**: 0.00 μB/cell
**Symmetry**: R-3m (166)
**D(E_F)**: 1.7 states/eV/cell
**Formation energy without anion corrections**: 0.401 eV/atom
**V**: 11.08 Å³ per atom